Material: TlCdFe3
Method: DFT, PBE-GGA
State: optimized geometry

Cell: 4.838 4.838 4.838 Å, 90.00 90.00 90.00°
Site moments in Bohr magnetons follow the coordinates.
Fractional positions:
Tl  0.500  0.500  0.500  -0.02
Fe  0.000  0.500  0.000  3.05
Fe  0.000  0.000  0.500  3.37
Fe  0.500  0.000  0.000  2.66
Cd  0.000  0.000  0.000  -0.08

Computed properties:
- SG = Pm-3m (221)

=====

Material: TlCd2Fe
Method: DFT, PBE-GGA
State: optimized geometry

Cell: 5.450 5.450 5.450 Å, 134.18 134.18 66.81°
Site moments in Bohr magnetons follow the coordinates.
Fractional positions:
Cd  0.000  0.000  0.000  -0.05
Cd  0.250  0.750  0.500  -0.04
Fe  0.500  0.500  0.000  2.76
Tl  0.750  0.250  0.500  -0.03

Computed properties:
- SG = I-4m2 (119)

=====

Material: TlCd2Fe
Method: DFT, PBE-GGA
State: optimized geometry

Cell: 4.030 4.030 10.758 Å, 79.20 79.20 90.00°
Site moments in Bohr magnetons follow the coordinates.
Fractional positions:
Tl  0.000  0.000  0.000  0.01
Tl  0.750  0.250  0.500  0.01
Fe  0.500  0.500  0.000  -0.26
Fe  0.250  0.750  0.500  -0.28
Cd  0.608  0.125  0.250  0.00
Cd  0.142  0.625  0.250  0.00
Cd  0.375  0.392  0.750  0.01
Cd  0.875  0.858  0.750  0.01

Computed properties:
- SG = I-42d (122)

=====

no.,calculated formation energy (meV/atom)
1,1439
2,443
3,720